No. 1
{"formula": "Cl", "functional": "SCAN", "state": "single point on PBEsol structure", "magnetic_moment_mub_per_cell": 0.00, "formation_energy_uncorrected_ev_per_atom": 0.0000, "crystal_system": "orthorhombic", "vol_a3_per_cell": 104.9, "e_tot_ev_per_atom": -7.98, "e_above_lowest_polymorph_ev_per_atom": 0.000, "cell": [[-2.3778, 0.2312, -3.0829], [0.9578, -3.4502, 1.5461], [-6.3456, 0.4467, 4.9278]], "species": ["Cl", "Cl", "Cl", "Cl"], "frac_coords": [[0.1250, 0.1250, 0.8893], [0.3750, 0.3750, 0.3893], [0.6250, 0.6250, 0.6107], [0.8750, 0.8750, 0.1107]]}

***

No. 2
{"formula": "TiAs2O7", "functional": "SCAN", "state": "single point on PBEsol structure", "magnetic_moment_mub_per_cell": 0.00, "formation_energy_uncorrected_ev_per_atom": -1.8827, "crystal_system": "monoclinic", "vol_a3_per_cell": 554.9, "e_tot_ev_per_atom": -11.89, "e_above_lowest_polymorph_ev_per_atom": 0.000, "cell": [[5.1508, 0.0019, 0.0000], [-0.1745, 8.2989, 0.0000], [0.0000, 0.0000, 12.9818]], "species": ["Ti", "Ti", "Ti", "Ti", "As", "As", "As", "As", "As", "As", "As", "As", "O", "O", "O", "O", "O", "O", "O", "O", "O", "O", "O", "O", "O", "O", "O", "O", "O", "O", "O", "O", "O", "O", "O", "O", "O", "O", "O", "O"], "frac_coords": [[0.2941, 0.6549, 0.3462], [0.2059, 0.8451, 0.8462], [0.7059, 0.3451, 0.6538], [0.7941, 0.1549, 0.1538], [0.2917, 0.0613, 0.3107], [0.2083, 0.4387, 0.8107], [0.7083, 0.9387, 0.6893], [0.7917, 0.5613, 0.1893], [0.1878, 0.3118, 0.4847], [0.3122, 0.1882, 0.9847], [0.8122, 0.6882, 0.5153], [0.6878, 0.8118, 0.0153], [0.3184, 0.1302, 0.4395], [0.1816, 0.3698, 0.9395], [0.6816, 0.8698, 0.5605], [0.8184, 0.6302, 0.0605], [0.6054, 0.2406, 0.0341], [0.8946, 0.2594, 0.5341], [0.3946, 0.7594, 0.9659], [0.1054, 0.7406, 0.4659], [0.9769, 0.0746, 0.2761], [0.5231, 0.4254, 0.7761], [0.0231, 0.9254, 0.7239], [0.4769, 0.5746, 0.2239], [0.9958, 0.6802, 0.2591], [0.5042, 0.8198, 0.7591], [0.0042, 0.3198, 0.7409], [0.4958, 0.1802, 0.2409], [0.4051, 0.8727, 0.3204], [0.0949, 0.6273, 0.8204], [0.5949, 0.1273, 0.6796], [0.9051, 0.3727, 0.1796], [0.1596, 0.4383, 0.3831], [0.3404, 0.0617, 0.8831], [0.8404, 0.5617, 0.6169], [0.6596, 0.9383, 0.1169], [0.6024, 0.6171, 0.4254], [0.8976, 0.8829, 0.9254], [0.3976, 0.3829, 0.5746], [0.1024, 0.1171, 0.0746]]}

***

No. 3
{"formula": "ScCdIr2", "functional": "SCAN", "state": "single point on PBEsol structure", "magnetic_moment_mub_per_cell": 0.00, "crystal_system": "monoclinic", "vol_a3_per_cell": 65.4, "e_tot_ev_per_atom": -47.13, "cell": [[-1.8231, -1.4835, 1.7822], [-1.5802, -2.5202, -3.7143], [4.9167, -1.3428, 1.4708]], "species": ["Cd", "Ir", "Ir", "Sc"], "frac_coords": [[0.2640, 0.8222, 0.5281], [0.0145, 0.9354, 0.0290], [0.7342, 0.3103, 0.4684], [0.4873, 0.4322, 0.9745]]}

***

No. 4
{"formula": "CaSi2RuPt", "functional": "SCAN", "state": "single point on PBEsol structure", "magnetic_moment_mub_per_cell": 2.44, "formation_energy_uncorrected_ev_per_atom": 2.1253, "crystal_system": "tetragonal", "vol_a3_per_cell": 112.3, "e_tot_ev_per_atom": -24.82, "cell": [[-3.8078, -0.5309, 2.7377], [-2.6095, -1.3556, -3.8925], [1.2242, -4.6540, 0.8002]], "species": ["Ru", "Ca", "Si", "Si", "Pt"], "frac_coords": [[0.5000, 0.5000, 0.5000], [0.0000, 0.0000, 0.0000], [0.0000, 0.0000, 0.5000], [0.0000, 0.5000, 0.0000], [0.5000, 0.0000, 0.0000]]}

***

No. 5
{"formula": "CaAl2Hg", "functional": "SCAN", "state": "single point on PBEsol structure", "magnetic_moment_mub_per_cell": 0.00, "crystal_system": "tetragonal", "vol_a3_per_cell": 87.4, "e_tot_ev_per_atom": -23.44, "cell": [[4.2617, 0.0000, 0.0000], [0.0000, 4.2617, 0.0000], [-2.1309, -2.1309, 4.8107]], "species": ["Ca", "Hg", "Al", "Al"], "frac_coords": [[0.5000, 0.5000, 0.0000], [0.0000, 0.0000, 0.0000], [0.7500, 0.2500, 0.5000], [0.2500, 0.7500, 0.5000]]}

***

No. 6
{"formula": "ReNiRu", "functional": "SCAN", "state": "single point on PBEsol structure", "magnetic_moment_mub_per_cell": 0.00, "crystal_system": "hexagonal", "vol_a3_per_cell": 39.0, "e_tot_ev_per_atom": -40.57, "e_above_lowest_polymorph_ev_per_atom": 0.130, "cell": [[-1.5937, -2.0614, -0.4029], [3.2078, -2.2106, -1.3784], [-0.9632, -0.0408, 4.0183]], "species": ["Ni", "Re", "Ru"], "frac_coords": [[0.8334, 0.0000, 0.0000], [0.8333, 0.3333, 0.6667], [0.3333, 0.6667, 0.3333]]}

***

No. 7
{"formula": "Ti2AgPd2", "functional": "SCAN", "state": "single point on PBEsol structure", "magnetic_moment_mub_per_cell": 0.02, "crystal_system": "tetragonal", "vol_a3_per_cell": 158.4, "e_tot_ev_per_atom": -26.24, "cell": [[-0.6445, -2.6979, 0.6527], [4.6104, -2.3953, -5.3485], [5.6124, -0.1538, 4.9067]], "species": ["Pd", "Pd", "Pd", "Pd", "Ag", "Ag", "Ti", "Ti", "Ti", "Ti"], "frac_coords": [[0.0000, 0.3689, 0.8689], [0.0000, 0.8689, 0.6311], [0.0000, 0.6311, 0.1311], [0.0000, 0.1311, 0.3689], [0.0000, 0.0000, 0.0000], [0.0000, 0.5000, 0.5000], [0.5000, 0.1665, 0.6665], [0.5000, 0.6665, 0.8335], [0.5000, 0.8335, 0.3335], [0.5000, 0.3335, 0.1665]]}

***

No. 8
{"formula": "CuSiSb2As", "functional": "SCAN", "state": "single point on PBEsol structure", "magnetic_moment_mub_per_cell": 0.00, "formation_energy_uncorrected_ev_per_atom": 0.6963, "crystal_system": "tetragonal", "vol_a3_per_cell": 115.7, "e_tot_ev_per_atom": -23.29, "cell": [[4.2740, 0.0000, 0.0000], [0.0000, 5.2020, 0.0000], [0.0000, 0.0000, 5.2020]], "species": ["Sb", "Sb", "As", "Si", "Cu"], "frac_coords": [[0.0000, 0.0000, 0.5000], [0.0000, 0.5000, 0.0000], [0.5000, 0.5000, 0.5000], [0.0000, 0.0000, 0.0000], [0.5000, 0.0000, 0.0000]]}

***

No. 9
{"formula": "NiHSe2", "functional": "SCAN", "state": "single point on PBEsol structure", "magnetic_moment_mub_per_cell": 1.00, "crystal_system": "trigonal", "vol_a3_per_cell": 66.4, "e_tot_ev_per_atom": -15.06, "cell": [[3.5962, 0.0000, 0.0000], [1.7981, 3.1144, 0.0000], [1.7981, 1.0381, 5.9279]], "species": ["Ni", "Se", "Se", "H"], "frac_coords": [[0.5000, 0.5000, 0.5000], [0.9007, 0.9007, 0.2979], [0.0993, 0.0993, 0.7021], [0.0000, 0.0000, 0.0000]]}

***

No. 10
{"formula": "HI", "functional": "SCAN", "state": "single point on PBEsol structure", "magnetic_moment_mub_per_cell": 0.00, "crystal_system": "monoclinic", "vol_a3_per_cell": 409.5, "e_tot_ev_per_atom": -20.05, "cell": [[7.8840, -0.0170, 0.0149], [0.0371, 7.8841, 0.0149], [3.9422, 3.9152, 6.6030]], "species": ["I", "I", "I", "I", "I", "I", "I", "I", "H", "H", "H", "H", "H", "H", "H", "H"], "frac_coords": [[0.7478, 0.7547, 0.0082], [0.2453, 0.2522, 0.4918], [0.2522, 0.2453, 0.9918], [0.7547, 0.7478, 0.5082], [0.7604, 0.2486, 0.9983], [0.7514, 0.2396, 0.5017], [0.2396, 0.7514, 0.0017], [0.2486, 0.7604, 0.4983], [0.5333, 0.7522, 0.0056], [0.2478, 0.4667, 0.4944], [0.4667, 0.2478, 0.9944], [0.7522, 0.5333, 0.5056], [0.7547, 0.4629, 0.0012], [0.5371, 0.2453, 0.4988], [0.2453, 0.5371, 0.9988], [0.4629, 0.7547, 0.5012]]}

***

No. 11
{"formula": "Mn3V17Si12", "functional": "SCAN", "state": "single point on PBEsol structure", "magnetic_moment_mub_per_cell": 0.01, "formation_energy_uncorrected_ev_per_atom": -0.5570, "crystal_system": "orthorhombic", "vol_a3_per_cell": 395.2, "e_tot_ev_per_atom": -15.31, "cell": [[4.6512, 0.0000, 0.0000], [-2.3256, 6.5172, 0.0000], [0.0000, 0.0000, 13.0389]], "species": ["Mn", "Mn", "Mn", "V", "V", "V", "V", "V", "V", "V", "V", "V", "V", "V", "V", "V", "V", "V", "V", "V", "Si", "Si", "Si", "Si", "Si", "Si", "Si", "Si", "Si", "Si", "Si", "Si"], "frac_coords": [[0.5015, 0.0000, 0.0000], [0.4985, 0.0000, 0.5000], [0.0009, 0.0000, 0.0000], [0.0692, 0.6475, 0.5994], [0.5746, 0.6459, 0.0969], [0.4217, 0.3525, 0.4006], [0.9287, 0.3541, 0.9031], [0.8516, 0.1974, 0.3227], [0.3479, 0.1953, 0.8240], [0.6542, 0.8026, 0.6773], [0.1526, 0.8047, 0.1760], [0.6542, 0.8026, 0.3227], [0.1526, 0.8047, 0.8240], [0.8516, 0.1974, 0.6773], [0.3479, 0.1953, 0.1760], [0.4217, 0.3525, 0.5994], [0.9287, 0.3541, 0.0969], [0.0692, 0.6475, 0.4006], [0.5746, 0.6459, 0.9031], [0.9983, 0.0000, 0.5000], [0.2507, 0.5012, 0.2488], [0.7495, 0.4988, 0.7512], [0.7495, 0.4988, 0.2488], [0.2507, 0.5012, 0.7512], [0.2562, 0.0000, 0.3366], [0.7522, 0.0000, 0.8399], [0.2562, 0.0000, 0.6634], [0.7522, 0.0000, 0.1601], [0.5769, 0.6731, 0.5000], [0.0909, 0.6799, 0.0000], [0.9037, 0.3269, 0.5000], [0.4110, 0.3201, 0.0000]]}

***

No. 12
{"formula": "KGe2Au2", "functional": "SCAN", "state": "single point on PBEsol structure", "magnetic_moment_mub_per_cell": 0.00, "crystal_system": "tetragonal", "vol_a3_per_cell": 111.5, "e_tot_ev_per_atom": -37.23, "cell": [[4.6543, 0.0000, 0.0000], [0.0000, 4.6543, 0.0000], [-2.3271, -2.3271, 5.1468]], "species": ["Ge", "Ge", "Au", "Au", "K"], "frac_coords": [[0.2500, 0.7500, 0.5000], [0.7500, 0.2500, 0.5000], [0.3620, 0.3620, 0.7239], [0.6380, 0.6380, 0.2761], [0.0000, 0.0000, 0.0000]]}